# GeAuSN2 (PBE, relaxed)
data_GeAuSN2
_chemical_formula_sum 'Ge1 Au1 S1 N2'
_symmetry_space_group_name_H-M 'P 1'
_symmetry_Int_Tables_number 1
_cell_length_a 4.053
_cell_length_b 4.053
_cell_length_c 5.287
_cell_angle_alpha 90.00
_cell_angle_beta 90.00
_cell_angle_gamma 90.00
loop_
_symmetry_equiv_pos_as_xyz
'x,y,z'
loop_
_atom_site_label
_atom_site_fract_x
_atom_site_fract_y
_atom_site_fract_z
Ge1 0.500 0.500 0.500
Au1 0.000 0.000 0.000
S1 0.000 0.000 0.500
N1 0.000 0.500 0.000
N2 0.500 0.000 0.000
# Total magnetic moment ... 2.681 μB/f.u.
# Formation energy (no corrections) ... 1640 meV/atom
# D(E_F) ... 1.84 states/eV/f.u.
# Distance to the lowest polymorph of the same formula ... 0 meV per atom
# Mass density ... 6.30 Mg/m³



# GeAuSN2 (PBE, relaxed)
data_GeAuSN2
_chemical_formula_sum 'Ge1 Au1 S1 N2'
_symmetry_space_group_name_H-M 'P 1'
_symmetry_Int_Tables_number 1
_cell_length_a 3.816
_cell_length_b 6.911
_cell_length_c 3.816
_cell_angle_alpha 90.00
_cell_angle_beta 90.00
_cell_angle_gamma 90.00
loop_
_symmetry_equiv_pos_as_xyz
'x,y,z'
loop_
_atom_site_label
_atom_site_fract_x
_atom_site_fract_y
_atom_site_fract_z
Ge1 0.000 0.500 0.000
Au1 0.000 0.000 0.000
S1 0.500 0.500 0.500
N1 0.000 0.000 0.500
N2 0.500 0.000 0.000
# Total magnetic moment ... 0.000 μB/f.u.
# Formation energy (no corrections) ... 1672 meV/atom
# D(E_F) ... 3.34 states/eV/f.u.
# Distance to the lowest polymorph of the same formula ... 31 meV per atom
# Mass density ... 5.44 Mg/m³



# Ge2SbAuN (PBE, relaxed)
data_Ge2SbAuN
_chemical_formula_sum 'Ge2 Sb1 Au1 N1'
_symmetry_space_group_name_H-M 'P 1'
_symmetry_Int_Tables_number 1
_cell_length_a 5.430
_cell_length_b 3.749
_cell_length_c 5.430
_cell_angle_alpha 90.00
_cell_angle_beta 90.00
_cell_angle_gamma 90.00
loop_
_symmetry_equiv_pos_as_xyz
'x,y,z'
loop_
_atom_site_label
_atom_site_fract_x
_atom_site_fract_y
_atom_site_fract_z
Sb1 0.500 0.500 0.500
Ge1 0.000 0.000 0.500
Ge2 0.500 0.000 0.000
Au1 0.000 0.000 0.000
N1 0.000 0.500 0.000
# Total magnetic moment ... 0.000 μB/f.u.
# Formation energy (no corrections) ... 917 meV/atom
# D(E_F) ... 3.08 states/eV/f.u.
# Mass density ... 7.18 Mg/m³



# TaGe2AuN (PBE, relaxed)
data_TaGe2AuN
_chemical_formula_sum 'Ta1 Ge2 Au1 N1'
_symmetry_space_group_name_H-M 'P 1'
_symmetry_Int_Tables_number 1
_cell_length_a 5.217
_cell_length_b 3.663
_cell_length_c 5.217
_cell_angle_alpha 90.00
_cell_angle_beta 90.00
_cell_angle_gamma 90.00
loop_
_symmetry_equiv_pos_as_xyz
'x,y,z'
loop_
_atom_site_label
_atom_site_fract_x
_atom_site_fract_y
_atom_site_fract_z
Ge1 0.000 0.000 0.500
Ge2 0.500 0.000 0.000
N1 0.000 0.500 0.000
Au1 0.000 0.000 0.000
Ta1 0.500 0.500 0.500
# Total magnetic moment ... 1.181 μB/f.u.
# Formation energy (no corrections) ... 1478 meV/atom
# D(E_F) ... 5.10 states/eV/f.u.
# Mass density ... 8.95 Mg/m³



# ThGeAuN (PBE, relaxed)
data_ThGeAuN
_chemical_formula_sum 'Th2 Ge2 Au2 N2'
_symmetry_space_group_name_H-M 'P 1'
_symmetry_Int_Tables_number 1
_cell_length_a 4.308
_cell_length_b 4.308
_cell_length_c 8.526
_cell_angle_alpha 90.00
_cell_angle_beta 90.00
_cell_angle_gamma 90.00
loop_
_symmetry_equiv_pos_as_xyz
'x,y,z'
loop_
_atom_site_label
_atom_site_fract_x
_atom_site_fract_y
_atom_site_fract_z
Th1 0.000 0.500 0.877
Th2 0.500 0.000 0.123
Ge1 0.000 0.000 0.500
Ge2 0.500 0.500 0.500
Au1 0.500 0.000 0.681
Au2 0.000 0.500 0.319
N1 0.500 0.500 0.000
N2 0.000 0.000 0.000
# Total magnetic moment ... 0.000 μB/f.u.
# Formation energy (no corrections) ... -867 meV/atom
# D(E_F) ... 2.41 states/eV/f.u.
# Mass density ... 10.82 Mg/m³



# UGeAuN (PBE, relaxed)
data_UGeAuN
_chemical_formula_sum 'U2 Ge2 Au2 N2'
_symmetry_space_group_name_H-M 'P 1'
_symmetry_Int_Tables_number 1
_cell_length_a 4.024
_cell_length_b 4.024
_cell_length_c 8.328
_cell_angle_alpha 90.00
_cell_angle_beta 90.00
_cell_angle_gamma 90.00
loop_
_symmetry_equiv_pos_as_xyz
'x,y,z'
loop_
_atom_site_label
_atom_site_fract_x
_atom_site_fract_y
_atom_site_fract_z
U1 0.000 0.500 0.869
U2 0.500 0.000 0.131
Ge1 0.500 0.000 0.709
Ge2 0.000 0.500 0.291
Au1 0.000 0.000 0.500
Au2 0.500 0.500 0.500
N1 0.500 0.500 0.000
N2 0.000 0.000 0.000
# Total magnetic moment ... 0.910 μB/f.u.
# Formation energy (no corrections) ... -690 meV/atom
# D(E_F) ... 5.38 states/eV/f.u.
# Mass density ... 12.85 Mg/m³



# ZnGe2AuN (PBE, relaxed)
data_ZnGe2AuN
_chemical_formula_sum 'Zn1 Ge2 Au1 N1'
_symmetry_space_group_name_H-M 'P 1'
_symmetry_Int_Tables_number 1
_cell_length_a 4.932
_cell_length_b 4.789
_cell_length_c 4.932
_cell_angle_alpha 90.00
_cell_angle_beta 90.00
_cell_angle_gamma 90.00
loop_
_symmetry_equiv_pos_as_xyz
'x,y,z'
loop_
_atom_site_label
_atom_site_fract_x
_atom_site_fract_y
_atom_site_fract_z
Ge1 0.000 0.000 0.500
Ge2 0.500 0.000 0.000
Au1 0.000 0.000 0.000
Zn1 0.000 0.500 0.000
N1 0.500 0.500 0.500
# Total magnetic moment ... 0.002 μB/f.u.
# Formation energy (no corrections) ... 1465 meV/atom
# D(E_F) ... 4.34 states/eV/f.u.
# Mass density ... 6.01 Mg/m³



# NaGeAu (PBE, relaxed)
data_NaGeAu
_chemical_formula_sum 'Na2 Ge2 Au2'
_symmetry_space_group_name_H-M 'P 1'
_symmetry_Int_Tables_number 1
_cell_length_a 5.762
_cell_length_b 5.762
_cell_length_c 5.762
_cell_angle_alpha 134.45
_cell_angle_beta 100.73
_cell_angle_gamma 96.51
loop_
_symmetry_equiv_pos_as_xyz
'x,y,z'
loop_
_atom_site_label
_atom_site_fract_x
_atom_site_fract_y
_atom_site_fract_z
Na1 0.218 0.718 0.500
Na2 0.594 0.594 0.000
Ge1 0.000 0.323 0.677
Ge2 0.646 0.323 0.323
Au1 0.205 0.001 0.205
Au2 0.796 0.001 0.795
# Formation energy from the elements ... -0.306 eV/atom
# Total magnetic moment ... 0.000 μB/f.u.
# D(E_F) ... 1.05 states/eV/f.u.
# Mass density ... 7.73 Mg/m³



Q: What is the formula in the eighth record?
A: NaGeAu



Copy entry 3 word for word.
# Ge2SbAuN (PBE, relaxed)
data_Ge2SbAuN
_chemical_formula_sum 'Ge2 Sb1 Au1 N1'
_symmetry_space_group_name_H-M 'P 1'
_symmetry_Int_Tables_number 1
_cell_length_a 5.430
_cell_length_b 3.749
_cell_length_c 5.430
_cell_angle_alpha 90.00
_cell_angle_beta 90.00
_cell_angle_gamma 90.00
loop_
_symmetry_equiv_pos_as_xyz
'x,y,z'
loop_
_atom_site_label
_atom_site_fract_x
_atom_site_fract_y
_atom_site_fract_z
Sb1 0.500 0.500 0.500
Ge1 0.000 0.000 0.500
Ge2 0.500 0.000 0.000
Au1 0.000 0.000 0.000
N1 0.000 0.500 0.000
# Total magnetic moment ... 0.000 μB/f.u.
# Formation energy (no corrections) ... 917 meV/atom
# D(E_F) ... 3.08 states/eV/f.u.
# Mass density ... 7.18 Mg/m³



Copy entry 3 word for word.
# Ge2SbAuN (PBE, relaxed)
data_Ge2SbAuN
_chemical_formula_sum 'Ge2 Sb1 Au1 N1'
_symmetry_space_group_name_H-M 'P 1'
_symmetry_Int_Tables_number 1
_cell_length_a 5.430
_cell_length_b 3.749
_cell_length_c 5.430
_cell_angle_alpha 90.00
_cell_angle_beta 90.00
_cell_angle_gamma 90.00
loop_
_symmetry_equiv_pos_as_xyz
'x,y,z'
loop_
_atom_site_label
_atom_site_fract_x
_atom_site_fract_y
_atom_site_fract_z
Sb1 0.500 0.500 0.500
Ge1 0.000 0.000 0.500
Ge2 0.500 0.000 0.000
Au1 0.000 0.000 0.000
N1 0.000 0.500 0.000
# Total magnetic moment ... 0.000 μB/f.u.
# Formation energy (no corrections) ... 917 meV/atom
# D(E_F) ... 3.08 states/eV/f.u.
# Mass density ... 7.18 Mg/m³